1.
Material: YTl5S4
Method: DFT, PBE
State: relaxed

## Properties
Its final energy is -4.272 eV/atom. For the uncorrected formation energy, the calculation gives -7.917 eV per formula unit. As for the crystal system: monoclinic.

Structure (CIF):
```
data_YTl5S4
_chemical_formula_sum 'Y2 Tl10 S8'
_symmetry_space_group_name_H-M 'C 1 2/m 1'
_symmetry_Int_Tables_number 12
_cell_length_a 18.466
_cell_length_b 4.087
_cell_length_c 8.512
_cell_angle_alpha 90.00
_cell_angle_beta 108.26
_cell_angle_gamma 90.00
loop_
_symmetry_equiv_pos_as_xyz
'x,y,z'
'-x,-y,-z'
'-x,y,-z'
'x,-y,z'
'x+1/2,y+1/2,z'
'-x+1/2,-y+1/2,-z'
'-x+1/2,y+1/2,-z'
'x+1/2,-y+1/2,z'
loop_
_atom_site_label
_atom_site_fract_x
_atom_site_fract_y
_atom_site_fract_z
Y1 0.000 0.000 0.000
Tl1 0.000 0.000 0.500
Tl2 0.157 0.500 0.807
Tl3 0.184 0.500 0.307
S1 0.021 0.500 0.231
S2 0.156 0.000 0.045
```


2.
Material: YTlS3
Method: DFT, PBE
State: relaxed

## Properties
Its final energy is -4.422 eV/atom. For the uncorrected formation energy, the calculation gives -0.899 eV per formula unit. The value obtained for the density of states at the Fermi level is 1.046 states/eV per cell. The value obtained for the energy above the lowest structure with this stoichiometry is 858.7 meV/atom. As for the crystal system: cubic.

Structure (CIF):
```
data_YTlS3
_chemical_formula_sum 'Y1 Tl1 S3'
_symmetry_space_group_name_H-M 'P m -3 m'
_symmetry_Int_Tables_number 221
_symmetry_space_group_name_Hall '-P 4 2 3'
_cell_length_a 5.022
_cell_length_b 5.022
_cell_length_c 5.022
_cell_angle_alpha 90.00
_cell_angle_beta 90.00
_cell_angle_gamma 90.00
loop_
_atom_site_label
_atom_site_fract_x
_atom_site_fract_y
_atom_site_fract_z
Y1 0.000 0.000 0.000
Tl1 0.500 0.500 0.500
S1 0.000 0.500 0.500
```


3.
Material: YTlS3
Method: DFT, PBE
State: relaxed

## Properties
Its final energy is -4.915 eV/atom. For the uncorrected formation energy, the calculation gives -3.360 eV per formula unit. The value obtained for the density of states at the Fermi level is 6.334 states/eV per cell. The value obtained for the energy above the lowest structure with this stoichiometry is 366.4 meV/atom. As for the crystal system: cubic.

Structure (CIF):
```
data_YTlS3
_chemical_formula_sum 'Y1 Tl1 S3'
_symmetry_space_group_name_H-M 'P m -3 m'
_symmetry_Int_Tables_number 221
_symmetry_space_group_name_Hall '-P 4 2 3'
_cell_length_a 5.319
_cell_length_b 5.319
_cell_length_c 5.319
_cell_angle_alpha 90.00
_cell_angle_beta 90.00
_cell_angle_gamma 90.00
loop_
_atom_site_label
_atom_site_fract_x
_atom_site_fract_y
_atom_site_fract_z
Y1 0.000 0.000 0.000
Tl1 0.500 0.500 0.500
S1 0.000 0.000 0.500
```


4.
Material: Y3TlS4
Method: DFT, PBE
State: relaxed

## Properties
Its final energy is -6.518 eV/atom. For the uncorrected formation energy, the calculation gives -13.873 eV per formula unit. The value obtained for the density of states at the Fermi level is 7.348 states/eV per cell. As for the crystal system: hexagonal.

Structure (CIF):
```
data_Y3TlS4
_chemical_formula_sum 'Y6 Tl2 S8'
_symmetry_space_group_name_H-M 'P 63/m m c'
_symmetry_Int_Tables_number 194
_symmetry_space_group_name_Hall '-P 6c 2c'
_cell_length_a 3.9647
_cell_length_b 3.9647
_cell_length_c 27.9435
_cell_angle_alpha 90.00
_cell_angle_beta 90.00
_cell_angle_gamma 120.00
loop_
_atom_site_label
_atom_site_fract_x
_atom_site_fract_y
_atom_site_fract_z
Y1 0.0000 0.0000 0.0000
Y2 0.3333 0.6667 0.1137
Tl1 0.3333 0.6667 0.7500
S1 0.0000 0.0000 0.1677
S2 0.3333 0.6667 0.5570
```


5.
Material: YbTlS2
Method: DFT, PBE
State: relaxed

## Properties
Its final energy is -4.235 eV/atom. For the uncorrected formation energy, the calculation gives -4.794 eV per formula unit. The value obtained for the density of states at the Fermi level is 37.096 states/eV per cell. As for the crystal system: trigonal.

Structure (CIF):
```
data_YbTlS2
_chemical_formula_sum 'Yb3 Tl3 S6'
_symmetry_space_group_name_H-M 'R -3 m'
_symmetry_Int_Tables_number 166
_symmetry_space_group_name_Hall '-R 3 2"'
_cell_length_a 4.0583
_cell_length_b 4.0583
_cell_length_c 21.4042
_cell_angle_alpha 90.00
_cell_angle_beta 90.00
_cell_angle_gamma 120.00
loop_
_atom_site_label
_atom_site_fract_x
_atom_site_fract_y
_atom_site_fract_z
Yb1 0.0000 0.0000 0.0000
Tl1 0.0000 0.0000 0.5000
S1 0.0000 0.0000 0.2643
```


6.
Material: Tl3ZnS
Method: DFT, PBE
State: relaxed

## Properties
Its final energy is -2.306 eV/atom. For the uncorrected formation energy, the calculation gives 0.971 eV per formula unit. The value obtained for the density of states at the Fermi level is 1.423 states/eV per cell. The value obtained for the energy above the lowest structure with this stoichiometry is 0.0 meV/atom. As for the crystal system: cubic.

Structure (CIF):
```
data_Tl3ZnS
_chemical_formula_sum 'Tl3 Zn1 S1'
_symmetry_space_group_name_H-M 'P m -3 m'
_symmetry_Int_Tables_number 221
_symmetry_space_group_name_Hall '-P 4 2 3'
_cell_length_a 5.292
_cell_length_b 5.292
_cell_length_c 5.292
_cell_angle_alpha 90.00
_cell_angle_beta 90.00
_cell_angle_gamma 90.00
loop_
_atom_site_label
_atom_site_fract_x
_atom_site_fract_y
_atom_site_fract_z
Tl1 0.000 0.000 0.500
Zn1 0.000 0.000 0.000
S1 0.500 0.500 0.500
```